VASP calculation (GGA-PBE) on a geometry-optimized K3YTc structure.

Output
The relative energy among the computed polymorphs comes out at 0 meV/atom. The formation energy is 1.6943 eV/atom. The value obtained for the uncorrected energy is -0.086 Ha/atom. As for the space-group type: Pm-3m. As for the volume: 217 Å³/cell.

```
K3YTc
1.0
6.0126 0.0000 0.0000
0.0000 6.0126 0.0000
0.0000 0.0000 6.0126
Y K Tc
1 3 1
Direct
0.5000 0.5000 0.5000
0.0000 0.5000 0.0000
0.0000 0.0000 0.5000
0.5000 0.0000 0.0000
0.0000 0.0000 0.0000
```

---

VASP calculation (GGA-PBE) on a geometry-optimized CaTc2W structure.

Output
The relative energy among the computed polymorphs comes out at 0 meV/atom. The formation energy is 0.2995 eV/atom. The value obtained for the uncorrected energy is -0.317 Ha/atom. As for the space-group type: P4/mmm. As for the volume: 73 Å³/cell.

```
CaTc2W
1.0
3.1872 0.0000 0.0000
0.0000 3.1872 0.0000
0.0000 0.0000 7.1620
Ca Tc W
1 2 1
Direct
0.5000 0.5000 0.7500
0.0000 0.0000 0.0511
0.0000 0.0000 0.4489
0.5000 0.5000 0.2500
```

---

VASP calculation (GGA-PBE) on a geometry-optimized Ca2MgBiH structure.

Output
The value obtained for the uncorrected energy is -0.110 Ha/atom. As for the space-group type: P4/mmm. As for the volume: 118 Å³/cell.

```
Ca2MgBiH
1.0
5.0942 0.0000 0.0000
0.0000 5.0942 0.0000
0.0000 0.0000 4.5519
Mg H Ca Bi
1 1 2 1
Direct
0.0000 0.0000 0.5000
0.0000 0.0000 0.0000
0.0000 0.5000 0.0000
0.5000 0.0000 0.0000
0.5000 0.5000 0.5000
```

---

VASP calculation (GGA-PBE) on a geometry-optimized Pr3GaAg2 structure.

Output
The relative energy among the computed polymorphs comes out at 6 meV/atom. The formation energy is -0.3459 eV/atom. The value obtained for the uncorrected energy is -0.154 Ha/atom. As for the space-group type: P-3m1. As for the volume: 321 Å³/cell.

```
Pr3GaAg2
1.0
5.3294 0.0000 0.0000
-2.6647 4.6154 0.0000
0.0000 0.0000 13.0526
Pr Ga Ag
6 2 4
Direct
0.3333 0.6667 0.4177
0.6667 0.3333 0.0858
0.0000 0.0000 0.7475
0.0000 0.0000 0.2525
0.3333 0.6667 0.9142
0.6667 0.3333 0.5823
0.3333 0.6667 0.6668
0.6667 0.3333 0.3332
0.0000 0.0000 0.5000
0.3333 0.6667 0.1677
0.6667 0.3333 0.8323
0.0000 0.0000 0.0000
```

---

VASP calculation (GGA-PBE) on a geometry-optimized CsOF2 structure.

Output
The relative energy among the computed polymorphs comes out at 374 meV/atom. The value obtained for the uncorrected energy is -0.112 Ha/atom. As for the space-group type: Fm-3m. As for the volume: 78 Å³/cell. As for the formation energy (no corrections): -0.646 eV per atom.

```
CsOF2
1.0
-1.9767 4.3405 0.5384
-2.8894 1.7602 -3.4044
-4.7108 0.4060 0.8247
Cs O F
1 1 2
Direct
0.5000 0.5000 0.5000
0.0000 0.0000 0.0000
0.2500 0.2500 0.2500
0.7500 0.7500 0.7500
```

---

VASP calculation (GGA-PBE) on a geometry-optimized ZnAuSe2 structure.

Output
The value obtained for the uncorrected energy is -0.104 Ha/atom. As for the space-group type: Pmmm. As for the volume: 109 Å³/cell. As for the formation energy (no corrections): 0.043 eV per atom.

```
ZnAuSe2
1.0
3.6528 0.0000 0.0000
0.0000 8.2615 0.0000
0.0000 0.0000 3.6253
Au Se Zn
1 2 1
Direct
0.0000 0.5000 0.5000
0.0000 0.0000 0.0000
0.5000 0.5000 0.0000
0.5000 0.0000 0.5000
```

---

VASP calculation (GGA-PBE) on a geometry-optimized CrReAg2Bi structure.

Output
The formation energy is 1.7865 eV/atom. The value obtained for the uncorrected energy is -0.167 Ha/atom. As for the space-group type: P4/mmm. As for the volume: 144 Å³/cell.

```
CrReAg2Bi
1.0
5.2353 0.0000 0.0000
0.0000 5.2663 0.0000
0.0000 0.0000 5.2353
Re Bi Ag Cr
1 1 2 1
Direct
0.0000 0.5000 0.0000
0.0000 0.0000 0.0000
0.0000 0.0000 0.5000
0.5000 0.0000 0.0000
0.5000 0.5000 0.5000
```

---

VASP calculation (GGA-PBE) on a geometry-optimized Cu5HgAu4 structure.

Output
The formation energy is 0.0076 eV/atom. The value obtained for the uncorrected energy is -0.124 Ha/atom. As for the space-group type: Pmmm. As for the volume: 155 Å³/cell.

```
Cu5HgAu4
1.0
3.6347 0.0000 0.0000
0.0000 2.9059 0.0000
0.0000 0.0000 14.6439
Cu Hg Au
5 1 4
Direct
0.5000 0.5000 0.1099
0.5000 0.5000 0.3039
0.5000 0.5000 0.5000
0.5000 0.5000 0.6961
0.5000 0.5000 0.8901
0.0000 0.0000 0.0000
0.0000 0.0000 0.2053
0.0000 0.0000 0.4019
0.0000 0.0000 0.5981
0.0000 0.0000 0.7947
```

---

VASP calculation (GGA-PBE) on a geometry-optimized AgAsBr2 structure.

Output
The relative energy among the computed polymorphs comes out at 539 meV/atom. The value obtained for the uncorrected energy is -0.085 Ha/atom. As for the space-group type: Fm-3m. As for the volume: 93 Å³/cell. As for the formation energy (no corrections): 0.404 eV per atom.

```
AgAsBr2
1.0
3.1921 2.8595 2.7356
-1.8309 3.4596 3.2448
0.4193 -0.7432 5.0122
As Br Ag
1 2 1
Direct
0.0000 0.0000 0.0000
0.2500 0.2500 0.2500
0.7500 0.7500 0.7500
0.5000 0.5000 0.5000
```

---

VASP calculation (GGA-PBE) on a geometry-optimized Pr2Pu2Pb3 structure.

Output
The formation energy is -0.2695 eV/atom. The value obtained for the uncorrected energy is -0.269 Ha/atom. As for the space-group type: Cmmm. As for the volume: 205 Å³/cell.

```
Pr2Pu2Pb3
1.0
4.6775 0.0000 0.6208
0.0000 3.5465 0.0000
0.7237 0.0000 12.4801
Pr Pu Pb
2 2 3
Direct
0.5768 0.5000 0.8464
0.4232 0.5000 0.1536
0.7151 0.5000 0.5698
0.2849 0.5000 0.4302
0.8445 0.0000 0.3111
0.0000 0.0000 0.0000
0.1555 0.0000 0.6889
```

---

VASP calculation (GGA-PBE) on a geometry-optimized TbTmSiSe structure.

Output
The value obtained for the uncorrected energy is -0.213 Ha/atom. As for the space-group type: R3m. As for the volume: 98 Å³/cell. As for the formation energy (no corrections): -1.284 eV per atom.

```
TbTmSiSe
1.0
-0.9427 3.0744 2.5181
-2.4498 -0.6598 3.2008
4.2545 -0.6706 5.7239
Tb Tm Si Se
1 1 1 1
Direct
0.6892 0.6892 0.9324
0.1988 0.1988 0.4037
0.9426 0.9426 0.1722
0.4459 0.4459 0.6624
```

---

VASP calculation (GGA-PBE) on a geometry-optimized YMn2Cd structure.

Output
The relative energy among the computed polymorphs comes out at 461 meV/atom. The formation energy is 0.5502 eV/atom. The value obtained for the uncorrected energy is -0.216 Ha/atom. As for the space-group type: I-42d. As for the volume: 176 Å³/cell.

```
YMn2Cd
1.0
7.6968 0.0000 0.0000
0.0000 7.6968 0.0000
3.8484 3.8484 2.9664
Y Mn Cd
2 4 2
Direct
0.5000 0.5000 0.0000
0.2500 0.7500 0.5000
0.6514 0.1250 0.2500
0.0986 0.6250 0.2500
0.3750 0.3486 0.7500
0.8750 0.9014 0.7500
0.0000 0.0000 0.0000
0.7500 0.2500 0.5000
```

---

VASP calculation (GGA-PBE) on a geometry-optimized CsScRh2 structure.

Output
The formation energy is 0.3903 eV/atom. The value obtained for the uncorrected energy is -0.187 Ha/atom. As for the space-group type: I-42d. As for the volume: 235 Å³/cell.

```
CsScRh2
1.0
5.3390 0.0000 0.0000
0.0000 5.3390 0.0000
2.6695 2.6695 8.2471
Cs Sc Rh
2 2 4
Direct
0.0000 0.0000 0.0000
0.7500 0.2500 0.5000
0.5000 0.5000 0.0000
0.2500 0.7500 0.5000
0.4489 0.1250 0.2500
0.3011 0.6250 0.2500
0.3750 0.5511 0.7500
0.8750 0.6989 0.7500
```

---

VASP calculation (GGA-PBE) on a geometry-optimized YMnCu2 structure.

Output
The formation energy is 0.1382 eV/atom. The value obtained for the uncorrected energy is -0.214 Ha/atom. As for the space-group type: F-43m. As for the volume: 67 Å³/cell.

```
YMnCu2
1.0
-2.7070 -3.6179 0.6628
0.2731 -3.5992 -2.7977
1.7708 -3.9318 1.5037
Cu Mn Y
2 1 1
Direct
0.0000 0.0000 0.0000
0.2500 0.2500 0.2500
0.5000 0.5000 0.5000
0.7500 0.7500 0.7500
```

---

VASP calculation (GGA-PBE) on a geometry-optimized LuVTcNi structure.

Output
The formation energy is -0.1046 eV/atom. The value obtained for the uncorrected energy is -0.278 Ha/atom. As for the space-group type: F-43m. As for the volume: 62 Å³/cell.

```
LuVTcNi
1.0
4.4463 0.0000 0.0000
2.2231 3.8506 0.0000
2.2231 1.2835 3.6304
Ni Lu Tc V
1 1 1 1
Direct
0.5000 0.5000 0.5000
0.7500 0.7500 0.7500
0.0000 0.0000 0.0000
0.2500 0.2500 0.2500
```

---

VASP calculation (GGA-PBE) on a geometry-optimized BaPrCu2Se4 structure.

Output
The value obtained for the uncorrected energy is -0.171 Ha/atom. As for the space-group type: I-42m. As for the volume: 212 Å³/cell. As for the formation energy (no corrections): -1.038 eV per atom.

```
BaPrCu2Se4
1.0
-1.4973 5.3167 4.3949
-4.6251 4.4726 -1.3118
-5.1803 -0.1025 4.0336
Ba Pr Cu Se
1 1 2 4
Direct
0.0000 0.0000 0.0000
0.5000 0.4998 0.5002
0.2500 0.2500 0.2500
0.7500 0.7500 0.7500
0.4943 0.0519 0.5056
0.0518 0.9482 0.4944
0.9482 0.5056 0.0518
0.5057 0.4944 0.9481
```

---

VASP calculation (GGA-PBE) on a geometry-optimized Tm3H12Ru5 structure.

Output
The value obtained for the uncorrected energy is -0.193 Ha/atom. As for the space-group type: Ia-3d. As for the volume: 727 Å³/cell.

```
Tm3H12Ru5
1.0
-5.0512 7.6082 -3.5914
-4.2391 -3.1248 8.2802
9.2144 2.7931 1.8949
Ru Tm H
20 12 48
Direct
0.1250 0.3750 0.2500
0.0000 0.5000 0.0000
0.0000 0.0000 0.0000
0.3750 0.2500 0.1250
0.5000 0.0000 0.5000
0.5000 0.5000 0.0000
0.1250 0.7500 0.3750
0.7500 0.1250 0.8750
0.7500 0.6250 0.3750
0.3750 0.1250 0.7500
0.6250 0.8750 0.2500
0.5000 0.5000 0.5000
0.5000 0.0000 0.0000
0.0000 0.0000 0.5000
0.2500 0.3750 0.6250
0.2500 0.8750 0.1250
0.0000 0.5000 0.5000
0.8750 0.2500 0.6250
0.6250 0.7500 0.8750
0.8750 0.6250 0.7500
0.7500 0.3750 0.1250
0.8750 0.7500 0.1250
0.3750 0.7500 0.6250
0.2500 0.1250 0.3750
0.8750 0.1250 0.2500
0.3750 0.6250 0.2500
0.6250 0.3750 0.7500
0.1250 0.8750 0.7500
0.7500 0.8750 0.6250
0.6250 0.2500 0.3750
0.1250 0.2500 0.8750
0.2500 0.6250 0.8750
0.7010 0.1114 0.0282
0.3272 0.5282 0.4168
0.9718 0.3886 0.2990
0.5282 0.2010 0.1114
0.5896 0.7010 0.6728
0.9718 0.5832 0.1728
0.3272 0.7990 0.4104
0.0832 0.9104 0.1114
0.5832 0.9718 0.6728
0.7010 0.5896 0.1728
0.7990 0.4718 0.3886
0.8272 0.9168 0.0282
0.1114 0.7010 0.5282
0.3886 0.4168 0.0896
0.0896 0.9168 0.3886
0.4104 0.1114 0.5832
0.0896 0.1728 0.2010
0.4718 0.6728 0.0832
0.8272 0.9104 0.2990
0.1114 0.4104 0.0832
0.3886 0.9718 0.7990
0.5832 0.6114 0.4104
0.9168 0.8272 0.5282
0.7990 0.3272 0.9104
0.4168 0.3886 0.5896
0.0832 0.1728 0.4718
0.2010 0.6728 0.0896
0.1728 0.0896 0.7010
0.6114 0.0282 0.2010
0.8886 0.5896 0.9168
0.5282 0.3272 0.9168
0.5896 0.8886 0.4168
0.9104 0.8272 0.7990
0.9104 0.0832 0.6114
0.8886 0.2990 0.4718
0.1728 0.0832 0.9718
0.6114 0.5832 0.9104
0.4168 0.0282 0.3272
0.2990 0.4104 0.8272
0.2010 0.5282 0.6114
0.9168 0.0896 0.8886
0.6728 0.2010 0.5896
0.4718 0.7990 0.8886
0.0282 0.4168 0.8272
0.4104 0.2990 0.3272
0.0282 0.6114 0.7010
0.6728 0.4718 0.5832
0.2990 0.8886 0.9718
```

---

VASP calculation (GGA-PBE) on a geometry-optimized SrMgTa2 structure.

Output
The formation energy is 0.6280 eV/atom. The value obtained for the uncorrected energy is -0.225 Ha/atom. As for the space-group type: Cm. As for the volume: 98 Å³/cell.

```
SrMgTa2
1.0
-3.5447 -2.9602 2.1518
-0.9022 -4.2842 2.6057
0.4576 2.9808 6.0311
Mg Sr Ta
1 1 2
Direct
0.4891 0.4891 0.5505
0.2494 0.2494 0.2427
0.0140 0.0140 0.9223
0.7475 0.7475 0.7845
```

---

VASP calculation (GGA-PBE) on a geometry-optimized NpFeP2Rh structure.

Output
The formation energy is -0.7216 eV/atom. The value obtained for the uncorrected energy is -0.317 Ha/atom. As for the space-group type: I-4m2. As for the volume: 74 Å³/cell.

```
NpFeP2Rh
1.0
3.8581 0.0000 0.0000
0.0000 3.8581 0.0000
-1.9290 -1.9290 4.9542
Np Fe P Rh
1 1 2 1
Direct
0.0000 0.0000 0.0000
0.7500 0.2500 0.5000
0.6186 0.6186 0.2373
0.3814 0.3814 0.7627
0.2500 0.7500 0.5000
```

---

VASP calculation (GGA-PBE) on a geometry-optimized Ba3NaSr structure.

Output
The relative energy among the computed polymorphs comes out at 229 meV/atom. The formation energy is 0.2417 eV/atom. The value obtained for the uncorrected energy is -0.056 Ha/atom. As for the space-group type: Pm-3m. As for the volume: 329 Å³/cell.

```
Ba3NaSr
1.0
-3.3318 -6.0276 0.4542
6.0083 -3.3592 -0.5059
0.6629 0.1512 6.8686
Sr Ba Na
1 3 1
Direct
0.5000 0.5000 0.5000
0.0000 0.5000 0.0000
0.0000 0.0000 0.5000
0.5000 0.0000 0.0000
0.0000 0.0000 0.0000
```

---

VASP calculation (GGA-PBE) on a geometry-optimized ReBCl structure.

Output
The relative energy among the computed polymorphs comes out at 0 meV/atom. The value obtained for the uncorrected energy is -0.250 Ha/atom. As for the space-group type: P4/mmm. As for the volume: 45 Å³/cell. As for the formation energy (no corrections): 0.195 eV per atom.

```
ReBCl
1.0
-0.3686 1.1106 2.8065
-4.5891 1.2178 -1.0846
-0.9488 -2.7258 0.9540
Re B Cl
1 1 1
Direct
0.5000 0.0000 0.9991
0.0000 0.0000 0.4991
0.5000 0.5000 0.9994
```

---

VASP calculation (GGA-PBE) on a geometry-optimized TcRh2Pb2 structure.

Output
The relative energy among the computed polymorphs comes out at 179 meV/atom. The formation energy is 0.7046 eV/atom. The value obtained for the uncorrected energy is -0.213 Ha/atom. As for the space-group type: I4/mmm. As for the volume: 101 Å³/cell.

```
TcRh2Pb2
1.0
-0.1447 3.5608 0.0603
-2.5172 -0.0596 -2.5228
-6.9355 1.4281 4.3684
Pb Rh Tc
2 2 1
Direct
0.3972 0.3972 0.2056
0.6028 0.6028 0.7944
0.7500 0.2500 0.5000
0.2500 0.7500 0.5000
0.0000 0.0000 0.0000
```

---

VASP calculation (GGA-PBE) on a geometry-optimized DyScGaSn structure.

Output
The formation energy is -0.5057 eV/atom. The value obtained for the uncorrected energy is -0.184 Ha/atom. As for the space-group type: F-43m. As for the volume: 93 Å³/cell.

```
DyScGaSn
1.0
-3.8412 1.4727 2.9819
-4.0208 -3.0377 0.6495
-0.7624 -2.2834 4.4744
Sc Sn Ga Dy
1 1 1 1
Direct
0.0000 0.0000 0.0000
0.2500 0.2500 0.2500
0.7500 0.7500 0.7500
0.5000 0.5000 0.5000
```

---

VASP calculation (GGA-PBE) on a geometry-optimized TmPuMnOs structure.

Output
The formation energy is -0.0759 eV/atom. The value obtained for the uncorrected energy is -0.363 Ha/atom. As for the space-group type: F-43m. As for the volume: 78 Å³/cell.

```
TmPuMnOs
1.0
-2.4102 0.9072 -4.0381
0.1436 -3.1237 -3.6277
-3.8864 -2.5741 -1.0989
Tm Os Mn Pu
1 1 1 1
Direct
0.7500 0.7500 0.7500
0.5000 0.5000 0.5000
0.0000 0.0000 0.0000
0.2500 0.2500 0.2500
```